<one>
Entry from the Alexandria database: a relaxed structure of CaNiF2 (GGA+U).

a = 4.1310 Å, b = 4.1310 Å, c = 13.6760 Å
α = 90.00°, β = 90.00°, γ = 90.00°
Last column: nearest neighbours and their distance in Å.
Space group I-42d (No. 122)
Asymmetric unit:
1 Ca 0.0000 0.0000 0.0000 (multiplicity 4)  4 F 2.29
2 Ni 0.0000 0.0000 0.5000 (multiplicity 4)  4 F 2.21
3 F 0.2266 0.2500 0.6250 (multiplicity 8)  2 Ni 2.21, 2 Ca 2.29

Calculated values
- Magnetization: 0.000 μB/atom
- Volume: 14.59 Å³ per atom
- D(E_F): 0.00 states/eV per cell

=====

<two>
Entry from the Alexandria database: a relaxed structure of CaNiF2 (GGA+U).

a = 5.8108 Å, b = 5.8108 Å, c = 5.8108 Å
α = 90.00°, β = 90.00°, γ = 90.00°
Last column: nearest neighbours and their distance in Å.
Space group Fm-3m (No. 225)
Asymmetric unit:
1 Ca 0.0000 0.0000 0.0000 (multiplicity 4)  8 F 2.52
2 Ni 0.0000 0.0000 0.5000 (multiplicity 4)  8 F 2.52
3 F 0.2500 0.2500 0.2500 (multiplicity 8)  4 Ni 2.52, 4 Ca 2.52

Calculated values
- Magnetization: 0.019 μB/atom
- Volume: 12.26 Å³ per atom
- D(E_F): 16.90 states/eV per cell

=====

Order of stability, best first: <one>, <two>